! TlHgRhPb2 | Alexandria via LeMat-Bulk | PBE | optimized geometry; values from VASP
! Calculated formation energy in eV/atom: 0.068
! Total moment in μB per formula unit: 0.0
! Calculated volume in Å³ per atom: 30.03
! Raw total energy in eV/f.u.: -17.10
&SYSTEM
  ibrav = 0, nat = 5, ntyp = 4
/
ATOMIC_SPECIES
Tl 204.38 Tl.upf
Hg 200.59 Hg.upf
Rh 102.91 Rh.upf
Pb 207.20 Pb.upf
ATOMIC_POSITIONS crystal
Tl 0.000 0.000 0.000
Hg 0.500 0.500 0.000
Rh 0.000 0.000 0.500
Pb 0.000 0.500 0.500
Pb 0.500 0.000 0.500
CELL_PARAMETERS angstrom
5.321 0.000 0.000
0.000 5.321 0.000
0.000 0.000 5.302